First-principles (PBE-GGA) data for crystalline Zr2AlCd at its relaxed geometry, as listed in Alexandria.

Structure (CIF):
```
data_Zr2AlCd
_chemical_formula_sum 'Zr2 Al1 Cd1'
_space_group_name_H-M_alt 'P 4/m m m'
_space_group_IT_number 123
_space_group_name_Hall '-P 4 2'
_cell_length_a 3.0234
_cell_length_b 3.0234
_cell_length_c 8.9742
_cell_angle_alpha 90.00
_cell_angle_beta 90.00
_cell_angle_gamma 90.00
loop_
_atom_site_label
_atom_site_fract_x
_atom_site_fract_y
_atom_site_fract_z
Zr1 0.0000 0.0000 0.2255
Al1 0.5000 0.5000 0.0000
Cd1 0.5000 0.5000 0.5000
```

- electronic total energy (eV/atom) = -5.747
- energy of formation from the pure elements (eV per atom) = -0.308
- total magnetic moment (μB/cell) = 0.0
- DOS(E_F) (states/eV/atom) = 0.934